Entry 1:
Here is a relaxed LuSb2Pt crystal from the Open Quantum Materials Database. Energies are from GGA-PBE.

The structure in CIF format:
```
data_LuSb2Pt
_cell_length_a 7.1670
_cell_length_b 7.1670
_cell_length_c 7.1670
_cell_angle_alpha 90.00
_cell_angle_beta 90.00
_cell_angle_gamma 90.00
_symmetry_space_group_name_H-M 'F -4 3 m'
_symmetry_Int_Tables_number 216
_symmetry_space_group_name_Hall 'F -4 2 3'
loop_
_atom_site_label
_atom_site_type_symbol
_atom_site_fract_x
_atom_site_fract_y
_atom_site_fract_z
Lu1 Lu 0.0000 0.0000 0.0000
Sb1 Sb 0.0000 0.0000 0.5000
Sb2 Sb 0.2500 0.2500 0.2500
Pt1 Pt 0.2500 0.2500 0.7500
```

Values from the calculation:
Its total DFT energy (no corrections) is -80.8 eV per cell.

=====

Entry 2:
Here is a relaxed LuSbPt2 crystal from the Open Quantum Materials Database. Energies are from GGA-PBE.

The structure in CIF format:
```
data_LuSbPt2
_cell_length_a 6.7573
_cell_length_b 6.7573
_cell_length_c 6.7573
_cell_angle_alpha 90.00
_cell_angle_beta 90.00
_cell_angle_gamma 90.00
_symmetry_space_group_name_H-M 'F -4 3 m'
_symmetry_Int_Tables_number 216
_symmetry_space_group_name_Hall 'F -4 2 3'
loop_
_atom_site_label
_atom_site_type_symbol
_atom_site_fract_x
_atom_site_fract_y
_atom_site_fract_z
Lu1 Lu 0.0000 0.0000 0.0000
Sb1 Sb 0.2500 0.2500 0.7500
Pt1 Pt 0.0000 0.0000 0.5000
Pt2 Pt 0.2500 0.2500 0.2500
```

Values from the calculation:
Its total DFT energy (no corrections) is -92.3 eV per cell.

=====

Entry 3:
Here is a relaxed LuSc2Pt crystal from the Open Quantum Materials Database. Energies are from GGA-PBE.

The structure in CIF format:
```
data_LuSc2Pt
_cell_length_a 6.8977
_cell_length_b 6.8977
_cell_length_c 6.8977
_cell_angle_alpha 90.00
_cell_angle_beta 90.00
_cell_angle_gamma 90.00
_symmetry_space_group_name_H-M 'F -4 3 m'
_symmetry_Int_Tables_number 216
_symmetry_space_group_name_Hall 'F -4 2 3'
loop_
_atom_site_label
_atom_site_type_symbol
_atom_site_fract_x
_atom_site_fract_y
_atom_site_fract_z
Lu1 Lu 0.0000 0.0000 0.0000
Sc1 Sc 0.0000 0.0000 0.5000
Sc2 Sc 0.2500 0.2500 0.7500
Pt1 Pt 0.2500 0.2500 0.2500
```

Values from the calculation:
Its energy of formation from the pure elements is -0.46 eV/atom. Its total DFT energy (no corrections) is -100.3 eV per cell.

=====

Entry 4:
Here is a relaxed LuScPt2 crystal from the Open Quantum Materials Database. Energies are from GGA-PBE.

The structure in CIF format:
```
data_LuScPt2
_cell_length_a 6.5941
_cell_length_b 6.5941
_cell_length_c 6.5941
_cell_angle_alpha 90.00
_cell_angle_beta 90.00
_cell_angle_gamma 90.00
_symmetry_space_group_name_H-M 'F -4 3 m'
_symmetry_Int_Tables_number 216
_symmetry_space_group_name_Hall 'F -4 2 3'
loop_
_atom_site_label
_atom_site_type_symbol
_atom_site_fract_x
_atom_site_fract_y
_atom_site_fract_z
Lu1 Lu 0.0000 0.0000 0.0000
Sc1 Sc 0.2500 0.2500 0.7500
Pt1 Pt 0.0000 0.0000 0.5000
Pt2 Pt 0.2500 0.2500 0.2500
```

Values from the calculation:
Its energy of formation from the pure elements is -0.84 eV/atom. Its total DFT energy (no corrections) is -105.3 eV per cell.

=====

Entry 5:
Here is a relaxed Lu2SiPt crystal from the Open Quantum Materials Database. Energies are from GGA-PBE.

The structure in CIF format:
```
data_Lu2SiPt
_cell_length_a 6.7825
_cell_length_b 6.7825
_cell_length_c 6.7825
_cell_angle_alpha 90.00
_cell_angle_beta 90.00
_cell_angle_gamma 90.00
_symmetry_space_group_name_H-M 'F -4 3 m'
_symmetry_Int_Tables_number 216
_symmetry_space_group_name_Hall 'F -4 2 3'
loop_
_atom_site_label
_atom_site_type_symbol
_atom_site_fract_x
_atom_site_fract_y
_atom_site_fract_z
Lu1 Lu 0.0000 0.0000 0.0000
Lu2 Lu 0.2500 0.2500 0.2500
Si1 Si 0.0000 0.0000 0.5000
Pt1 Pt 0.2500 0.2500 0.7500
```

Values from the calculation:
Its total DFT energy (no corrections) is -87.8 eV per cell.

=====

Entry 6:
Here is a relaxed LuSi2Pt crystal from the Open Quantum Materials Database. Energies are from GGA-PBE.

The structure in CIF format:
```
data_LuSi2Pt
_cell_length_a 6.5440
_cell_length_b 6.5440
_cell_length_c 6.5440
_cell_angle_alpha 90.00
_cell_angle_beta 90.00
_cell_angle_gamma 90.00
_symmetry_space_group_name_H-M 'F -4 3 m'
_symmetry_Int_Tables_number 216
_symmetry_space_group_name_Hall 'F -4 2 3'
loop_
_atom_site_label
_atom_site_type_symbol
_atom_site_fract_x
_atom_site_fract_y
_atom_site_fract_z
Lu1 Lu 0.0000 0.0000 0.0000
Si1 Si 0.0000 0.0000 0.5000
Si2 Si 0.2500 0.2500 0.2500
Pt1 Pt 0.2500 0.2500 0.7500
```

Values from the calculation:
Its total DFT energy (no corrections) is -91.0 eV per cell.

=====

Entry 7:
Here is a relaxed LuSiPt crystal from the Open Quantum Materials Database. Energies are from GGA-PBE.

The structure in CIF format:
```
data_LuSiPt
_cell_length_a 6.2767
_cell_length_b 6.2767
_cell_length_c 6.2767
_cell_angle_alpha 90.00
_cell_angle_beta 90.00
_cell_angle_gamma 90.00
_symmetry_space_group_name_H-M 'F -4 3 m'
_symmetry_Int_Tables_number 216
_symmetry_space_group_name_Hall 'F -4 2 3'
loop_
_atom_site_label
_atom_site_type_symbol
_atom_site_fract_x
_atom_site_fract_y
_atom_site_fract_z
Lu1 Lu 0.0000 0.0000 0.0000
Si1 Si 0.0000 0.0000 0.5000
Pt1 Pt 0.2500 0.2500 0.2500
```

Values from the calculation:
Its total DFT energy (no corrections) is -75.1 eV per cell.

=====

Entry 8:
Here is a relaxed LuSiPt crystal from the Open Quantum Materials Database. Energies are from GGA-PBE.

The structure in CIF format:
```
data_LuSiPt
_cell_length_a 6.6720
_cell_length_b 6.6720
_cell_length_c 4.1112
_cell_angle_alpha 90.00
_cell_angle_beta 90.00
_cell_angle_gamma 120.00
_symmetry_space_group_name_H-M 'P -6 2 m'
_symmetry_Int_Tables_number 189
_symmetry_space_group_name_Hall 'P -6 -2'
loop_
_atom_site_label
_atom_site_type_symbol
_atom_site_fract_x
_atom_site_fract_y
_atom_site_fract_z
Lu1 Lu 0.0000 0.5740 0.0000
Si1 Si 0.0000 0.0000 0.0000
Si2 Si 0.3333 0.6667 0.5000
Pt1 Pt 0.0000 0.2492 0.5000
```

Values from the calculation:
Its total DFT energy (no corrections) is -58.2 eV per cell.

=====

Entry 9:
Here is a relaxed LuSiPt crystal from the Open Quantum Materials Database. Energies are from GGA-PBE.

The structure in CIF format:
```
data_LuSiPt
_cell_length_a 7.0063
_cell_length_b 7.0063
_cell_length_c 3.8398
_cell_angle_alpha 90.00
_cell_angle_beta 90.00
_cell_angle_gamma 120.00
_symmetry_space_group_name_H-M 'P -6 2 m'
_symmetry_Int_Tables_number 189
_symmetry_space_group_name_Hall 'P -6 -2'
loop_
_atom_site_label
_atom_site_type_symbol
_atom_site_fract_x
_atom_site_fract_y
_atom_site_fract_z
Lu1 Lu 0.0000 0.5921 0.0000
Si1 Si 0.0000 0.2516 0.5000
Pt1 Pt 0.0000 0.0000 0.0000
Pt2 Pt 0.3333 0.6667 0.5000
```

Values from the calculation:
Its total DFT energy (no corrections) is -58.0 eV per cell.

=====

Entry 10:
Here is a relaxed LuSiPt crystal from the Open Quantum Materials Database. Energies are from GGA-PBE.

The structure in CIF format:
```
data_LuSiPt
_cell_length_a 7.7271
_cell_length_b 7.7271
_cell_length_c 3.1663
_cell_angle_alpha 90.00
_cell_angle_beta 90.00
_cell_angle_gamma 120.00
_symmetry_space_group_name_H-M 'P -6 2 m'
_symmetry_Int_Tables_number 189
_symmetry_space_group_name_Hall 'P -6 -2'
loop_
_atom_site_label
_atom_site_type_symbol
_atom_site_fract_x
_atom_site_fract_y
_atom_site_fract_z
Lu1 Lu 0.0000 0.2928 0.0000
Si1 Si 0.0000 0.0000 0.5000
Si2 Si 0.3333 0.6667 0.0000
Pt1 Pt 0.0000 0.6408 0.5000
```

Values from the calculation:
Its total DFT energy (no corrections) is -53.5 eV per cell.

=====

Entry 11:
Here is a relaxed LuSiPt crystal from the Open Quantum Materials Database. Energies are from GGA-PBE.

The structure in CIF format:
```
data_LuSiPt
_cell_length_a 6.8500
_cell_length_b 4.2418
_cell_length_c 7.4293
_cell_angle_alpha 90.00
_cell_angle_beta 90.00
_cell_angle_gamma 90.00
_symmetry_space_group_name_H-M 'P n m a'
_symmetry_Int_Tables_number 62
loop_
_symmetry_equiv_pos_as_xyz
'x,y,z'
'-x,-y,-z'
'-x+1/2,-y,z+1/2'
'x+1/2,y,-z+1/2'
'x+1/2,-y+1/2,-z+1/2'
'-x+1/2,y+1/2,z+1/2'
'-x,y+1/2,-z'
'x,-y+1/2,z'
loop_
_atom_site_label
_atom_site_type_symbol
_atom_site_fract_x
_atom_site_fract_y
_atom_site_fract_z
Lu1 Lu 0.0028 0.2500 0.2011
Si1 Si 0.1898 0.2500 0.5900
Pt1 Pt 0.2006 0.7500 0.4152
```

Values from the calculation:
Its total DFT energy (no corrections) is -78.6 eV per cell.

=====

Entry 12:
Here is a relaxed TmLuSi2Pt crystal from the Open Quantum Materials Database. Energies are from GGA-PBE.

The structure in CIF format:
```
data_TmLuSi2Pt
_cell_length_a 10.1637
_cell_length_b 4.2455
_cell_length_c 9.9833
_cell_angle_alpha 90.00
_cell_angle_beta 117.39
_cell_angle_gamma 90.00
_symmetry_space_group_name_H-M 'C 1 2/m 1'
_symmetry_Int_Tables_number 12
loop_
_symmetry_equiv_pos_as_xyz
'x,y,z'
'-x,-y,-z'
'-x,y,-z'
'x,-y,z'
'x+1/2,y+1/2,z'
'-x+1/2,-y+1/2,-z'
'-x+1/2,y+1/2,-z'
'x+1/2,-y+1/2,z'
loop_
_atom_site_label
_atom_site_type_symbol
_atom_site_fract_x
_atom_site_fract_y
_atom_site_fract_z
Tm1 Tm 0.1879 0.0000 0.1076
Lu1 Lu 0.0066 0.0000 0.3253
Si1 Si 0.0199 0.5000 0.8870
Si2 Si 0.1382 0.5000 0.5578
Pt1 Pt 0.2274 0.5000 0.3430
```

Values from the calculation:
Its total DFT energy (no corrections) is -124.4 eV per cell.